[1]
Entry from the Alexandria database: a relaxed MgSi2Tc crystal (PBE).

Computed properties:
Energy relative to the elements, uncorrected in eV per atom: 0.217
Electronic total energy in eV/atom: -5.484
Spin magnetization in μB per atom: 0.00
DOS at the Fermi energy in states/eV per cell: 2.7

Lattice parameters (Å, degrees): 2.845 2.845 8.224 90.00 90.00 110.64
Fractional coordinates of all 4 atoms:
Mg 0.000 0.000 0.000
Si 0.000 0.000 0.484
Si 0.500 0.500 0.718
Tc 0.500 0.500 0.268

[2]
Entry from the Alexandria database: a relaxed YCuC crystal (PBE).

Computed properties:
ΔE_f in kcal/mol of atoms: 3.4
Electronic total energy in eV/atom: -6.446
Spin magnetization in μB per atom: 0.00
DOS at the Fermi energy in states/eV per cell: 3.4

Lattice parameters (Å, degrees): 3.511 5.244 5.344 102.67 109.08 90.04
Fractional coordinates of all 6 atoms:
Y 0.000 0.000 0.000
Y 0.333 0.384 0.661
Cu 0.250 0.851 0.500
Cu 0.608 0.598 0.215
C 0.012 0.506 0.021
C 0.739 0.006 0.476

[3]
Entry from the Alexandria database: a relaxed CeTmAsP crystal (PBE).

Computed properties:
ΔE_f in kcal/mol of atoms: -34.7
Electronic total energy in eV/atom: -6.619
Spin magnetization in μB per atom: 0.14
DOS at the Fermi energy in states/eV per cell: 5.1

Lattice parameters (Å, degrees): 7.052 7.052 7.052 33.63 33.63 33.63
Fractional coordinates of all 4 atoms:
Ce 0.000 0.000 0.000
Tm 0.505 0.505 0.505
As 0.755 0.755 0.755
P 0.250 0.250 0.250